Entry 1:
4
Lattice="-0.887 -0.425 4.535 3.227 -1.746 2.842 2.143 2.762 3.052" Properties=species:S:1:pos:R:3 comment="GGA-PBE LuAlAgIr, relaxed" formation_energy_ev_per_atom=-0.547 space_group=F-43m pbc="T T T"
Ag 1.121 0.148 2.607
Lu 0.000 0.000 0.000
Ir 3.363 0.444 7.822
Al 2.242 0.296 5.214

---

Entry 2:
4
Lattice="4.449 0.000 0.000 2.225 3.853 0.000 2.225 1.284 3.633" Properties=species:S:1:pos:R:3 comment="GGA-PBE MgAlAgIr, relaxed" formation_energy_ev_per_atom=-0.406 space_group=F-43m pbc="T T T"
Al 0.000 0.000 0.000
Ir 6.674 3.853 2.725
Ag 2.225 1.284 0.908
Mg 4.449 2.569 1.816

---

Entry 3:
5
Lattice="4.683 0.000 0.000 0.000 4.708 0.000 0.000 0.000 4.683" Properties=species:S:1:pos:R:3 comment="GGA-PBE MgAlAg2Ir, relaxed" formation_energy_ev_per_atom=0.922 space_group=P4/mmm pbc="T T T"
Ir 0.000 2.354 0.000
Al 2.342 2.354 2.342
Ag 2.342 0.000 0.000
Ag 0.000 0.000 2.342
Mg 0.000 0.000 0.000

---

Entry 4:
18
Lattice="5.068 0.000 0.000 -2.534 4.389 0.000 0.000 0.000 9.273" Properties=species:S:1:pos:R:3 comment="GGA-PBE AlAgIrO6, relaxed" formation_energy_uncorrected_mev_per_atom=-1030 space_group=P-31c pbc="T T T"
O 4.125 1.615 1.278
O -1.591 2.773 7.995
O 0.664 4.380 7.995
O 0.928 1.624 7.995
O 1.591 2.773 5.914
O -0.664 4.380 5.914
O 1.606 2.765 1.278
O 1.870 0.008 1.278
O 3.462 2.765 3.359
O -0.928 1.624 5.914
O 3.197 0.008 3.359
O 0.942 1.615 3.359
Ir 2.534 1.463 6.955
Ir 0.000 2.926 2.318
Ag 0.000 0.000 4.636
Ag 0.000 0.000 0.000
Al 2.534 1.463 2.318
Al 0.000 2.926 6.955

---

Entry 5:
4
Lattice="-2.468 -0.726 -4.040 -0.533 -4.440 -1.715 -4.286 -2.131 0.162" Properties=species:S:1:pos:R:3 comment="GGA-PBE PmAlAgIr, relaxed" formation_energy_ev_per_atom=-0.345 space_group=F-43m pbc="T T T"
Pm 0.000 0.000 0.000
Al -3.644 -3.649 -2.797
Ir -5.466 -5.474 -4.195
Ag -1.822 -1.825 -1.398

---

Entry 6:
5
Lattice="5.493 0.000 0.000 0.000 5.036 0.000 0.000 0.000 5.493" Properties=species:S:1:pos:R:3 comment="GGA-PBE RbAlAg2Ir, relaxed" formation_energy_ev_per_atom=1.995 space_group=P4/mmm pbc="T T T"
Al 2.747 2.518 2.747
Rb 0.000 0.000 0.000
Ag 2.747 0.000 0.000
Ag 0.000 0.000 2.747
Ir 0.000 2.518 0.000

---

Entry 7:
5
Lattice="-4.087 2.336 0.431 -1.685 -3.528 3.143 1.767 2.416 3.659" Properties=species:S:1:pos:R:3 comment="GGA-PBE AlRe2AgIr, relaxed" formation_energy_ev_per_atom=1.833 space_group=P4/mmm pbc="T T T"
Re -2.044 1.168 0.216
Re 0.883 1.208 1.830
Ag -0.843 -1.764 1.572
Ir 0.000 0.000 0.000
Al -2.003 0.612 3.617

---

Entry 8:
5
Lattice="4.435 0.000 0.000 0.000 4.493 0.000 0.000 0.000 4.435" Properties=species:S:1:pos:R:3 comment="GGA-PBE AlAgIr2S, relaxed" formation_energy_uncorrected_mev_per_atom=663 space_group=P4/mmm pbc="T T T"
Al 0.000 2.246 0.000
Ir 0.000 0.000 2.217
Ir 2.217 0.000 0.000
S 0.000 0.000 0.000
Ag 2.217 2.246 2.217

---

Entry 9:
4
Lattice="4.537 0.000 0.000 2.268 3.929 0.000 2.268 1.310 3.704" Properties=species:S:1:pos:R:3 comment="GGA-PBE ScAlAgIr, relaxed" formation_energy_ev_per_atom=-0.597 space_group=F-43m pbc="T T T"
Sc 2.268 1.310 0.926
Ir 4.537 2.619 1.852
Ag 0.000 0.000 0.000
Al 6.805 3.929 2.778

---

Entry 10:
20
Lattice="-2.208 1.285 2.384 6.709 -3.133 7.900 5.043 9.569 -0.488" Properties=species:S:1:pos:R:3 comment="GGA-PBE Sc5Al2AgIr2, relaxed" formation_energy_ev_per_atom=-0.492 space_group=P4/mbm pbc="T T T"
Sc 1.418 5.427 0.948
Sc 3.456 8.057 1.418
Sc 8.916 6.958 7.066
Sc 6.301 5.526 5.417
Sc 3.826 5.232 3.284
Sc 3.242 2.195 4.380
Sc 5.718 2.489 6.513
Sc 6.088 -0.336 8.379
Sc 0.628 0.763 2.731
Sc 2.250 -0.924 5.142
Ir 8.624 6.271 4.606
Ir 3.127 0.165 2.806
Ir 7.628 0.774 6.646
Ir 4.124 5.662 0.767
Al 2.810 2.585 1.209
Al 8.942 3.851 6.204
Al 6.362 6.888 2.179
Al 5.389 -0.452 5.234
Ag 5.876 3.218 3.706
Ag 0.000 0.000 0.000

---

Entry 11:
5
Lattice="4.769 0.000 0.000 0.000 4.718 0.000 0.000 0.000 4.769" Properties=species:S:1:pos:R:3 comment="GGA-PBE Al2AgIrSe, relaxed" formation_energy_uncorrected_mev_per_atom=1033 space_group=P4/mmm pbc="T T T"
Se 0.000 0.000 0.000
Ir 2.385 2.359 2.385
Al 2.385 0.000 0.000
Al 0.000 0.000 2.385
Ag 0.000 2.359 0.000

---

Entry 12:
5
Lattice="-1.765 4.165 2.520 -4.146 -0.069 -2.791 -2.291 -3.076 3.479" Properties=species:S:1:pos:R:3 comment="GGA-PBE Al2AgTeIr, relaxed" formation_energy_uncorrected_mev_per_atom=1476 space_group=P4/mmm pbc="T T T"
Te 0.000 0.000 0.000
Ir -4.101 0.510 1.604
Al -0.882 2.082 1.260
Al -1.145 -1.538 1.739
Ag -2.073 -0.034 -1.395

---

Number 1: electronic total energy -5.54 eV/atom, N(E_F) 2.27 states/eV/f.u.. Number 2: electronic total energy -4.67 eV/atom, N(E_F) 2.14 states/eV/f.u.. Number 3: electronic total energy -3.06 eV/atom, N(E_F) 2.50 states/eV/f.u.. Number 4: electronic total energy -6.05 eV/atom, N(E_F) 5.78 states/eV/f.u.. Number 5: electronic total energy -5.40 eV/atom, N(E_F) 3.21 states/eV/f.u.. Number 6: electronic total energy -1.86 eV/atom, N(E_F) 4.03 states/eV/f.u.. Number 7: electronic total energy -6.24 eV/atom, N(E_F) 6.54 states/eV/f.u.. Number 8: electronic total energy -5.03 eV/atom, N(E_F) 4.63 states/eV/f.u.. Number 9: electronic total energy -6.04 eV/atom, N(E_F) 2.06 states/eV/f.u.. Number 10: electronic total energy -6.46 eV/atom, N(E_F) 5.92 states/eV/f.u.. Number 11: electronic total energy -3.50 eV/atom, N(E_F) 3.77 states/eV/f.u.. Number 12: electronic total energy -2.99 eV/atom, N(E_F) 3.81 states/eV/f.u..